This record from the Alexandria database describes a PBEsol-optimized structure of Cd5Hg4. The functional is SCAN.

Results
Energy of formation from the pure elements, eV/atom: 0.02
Distance to the lowest polymorph of the same formula, meV/atom: 3
DFT total energy, eV/atom: -47.169
Magnetic moment, μB per atom: 0.00

The structure in extended XYZ format:
```
9
Lattice="-1.905 -0.240 4.027 3.001 -5.137 3.585 3.492 4.120 4.369" Properties=species:S:1:pos:R:3 pbc="T T T"
Cd 1.058 2.587 5.597
Cd 0.731 -3.585 5.075
Cd 0.365 -1.792 2.537
Cd 0.528 1.293 2.798
Cd 0.000 0.000 0.000
Hg 3.331 1.090 4.112
Hg 0.844 -0.494 5.312
Hg 3.744 -0.763 6.668
Hg 3.162 -2.107 3.841
```